No. 1
VASP calculation (PBE-GGA) on HfSb2TeH after structural relaxation.

Unit cell a=5.5346 b=5.5346 c=5.5601 alpha=90.00 beta=90.00 gamma=90.00
Each line ends with the local moment (μB).
Atoms (fractional coordinates):
Sb 0.0000 0.5000 0.0000  -0.01
Sb 0.5000 0.0000 0.0000  -0.01
Hf 0.0000 0.0000 0.0000  0.03
Te 0.0000 0.0000 0.5000  0.00
H 0.5000 0.5000 0.5000  0.36

- Excess energy over the best structure of this formula in the dataset: 0.255 eV/atom
- Size of the total moment: 0.883 μB/f.u.
- Crystal system: tetragonal
- Electronic total energy: -4.3810 eV/atom
- DOS at the Fermi energy: 3.7 states/eV/f.u.

***

No. 2
VASP calculation (PBE-GGA) on HfTi2SbH after structural relaxation.

Unit cell a=4.2621 b=4.2621 c=4.2225 alpha=90.00 beta=90.00 gamma=90.00
Atoms (fractional coordinates):
Ti 0.5000 0.0000 0.0000
Ti 0.0000 0.5000 0.0000
Sb 0.5000 0.5000 0.5000
H 0.0000 0.0000 0.0000
Hf 0.0000 0.0000 0.5000

- Size of the total moment: 0.001 μB/f.u.
- Crystal system: tetragonal
- Electronic total energy: -7.0450 eV/atom
- DOS at the Fermi energy: 5.2 states/eV/f.u.

***

No. 3
VASP calculation (PBE-GGA) on Hf2VSbH after structural relaxation.

Unit cell a=4.4724 b=4.4724 c=3.9267 alpha=90.00 beta=90.00 gamma=90.00
Atoms (fractional coordinates):
V 0.0000 0.0000 0.5000
Hf 0.0000 0.5000 0.0000
Hf 0.5000 0.0000 0.0000
H 0.0000 0.0000 0.0000
Sb 0.5000 0.5000 0.5000

- Size of the total moment: 0.000 μB/f.u.
- Crystal system: tetragonal
- Electronic total energy: -7.5423 eV/atom
- DOS at the Fermi energy: 2.2 states/eV/f.u.

***

No. 4
VASP calculation (PBE-GGA) on HfV2SbH after structural relaxation.

Unit cell a=4.1011 b=4.1011 c=4.1845 alpha=90.00 beta=90.00 gamma=90.00
Atoms (fractional coordinates):
Hf 0.0000 0.0000 0.5000
Sb 0.5000 0.5000 0.5000
V 0.5000 0.0000 0.0000
V 0.0000 0.5000 0.0000
H 0.0000 0.0000 0.0000

- Size of the total moment: 0.000 μB/f.u.
- Crystal system: tetragonal
- Electronic total energy: -7.2928 eV/atom
- DOS at the Fermi energy: 2.4 states/eV/f.u.

***

No. 5
VASP calculation (PBE-GGA) on HfZn2SbH after structural relaxation.

Unit cell a=5.2702 b=3.4674 c=5.2702 alpha=90.00 beta=90.00 gamma=90.00
Atoms (fractional coordinates):
Zn 0.0000 0.0000 0.5000
Zn 0.5000 0.0000 0.0000
H 0.0000 0.5000 0.0000
Hf 0.5000 0.5000 0.5000
Sb 0.0000 0.0000 0.0000

- Size of the total moment: 0.000 μB/f.u.
- Crystal system: tetragonal
- Electronic total energy: -3.3738 eV/atom
- DOS at the Fermi energy: 4.2 states/eV/f.u.

***

No. 6
VASP calculation (PBE-GGA) on HfScH2 after structural relaxation.

Unit cell a=4.0908 b=4.0908 c=4.0908 alpha=60.00 beta=60.00 gamma=60.00
Atoms (fractional coordinates):
H 0.2500 0.2500 0.2500
H 0.7500 0.7500 0.7500
Sc 0.0000 0.0000 0.0000
Hf 0.5000 0.5000 0.5000

- Excess energy over the best structure of this formula in the dataset: 0.706 eV/atom
- Size of the total moment: 0.000 μB/f.u.
- Crystal system: cubic
- Electronic total energy: -5.4069 eV/atom
- DOS at the Fermi energy: 3.5 states/eV/f.u.

***

No. 7
VASP calculation (PBE-GGA) on HfScH2 after structural relaxation.

Unit cell a=3.2032 b=3.2032 c=5.6435 alpha=73.51 beta=73.51 gamma=60.00
Atoms (fractional coordinates):
H 0.2434 0.2434 0.2698
H 0.0865 0.0865 0.7405
Hf 0.4955 0.4955 0.5135
Sc 0.6746 0.6746 0.9762

- Excess energy over the best structure of this formula in the dataset: 0.155 eV/atom
- Size of the total moment: 0.000 μB/f.u.
- Crystal system: trigonal
- Electronic total energy: -5.9577 eV/atom
- DOS at the Fermi energy: 2.2 states/eV/f.u.

***

No. 8
VASP calculation (PBE-GGA) on Hf2ScH6 after structural relaxation.

Unit cell a=3.2719 b=4.8467 c=5.7288 alpha=115.02 beta=106.37 gamma=90.00
Atoms (fractional coordinates):
Sc 0.0000 0.0000 0.0000
H 0.1679 0.4194 0.3358
H 0.5000 0.2558 0.0000
H 0.8321 0.5806 0.6642
H 0.1679 0.9164 0.3358
H 0.5000 0.7442 0.0000
H 0.8321 0.0836 0.6642
Hf 0.3337 0.3333 0.6665
Hf 0.6663 0.6667 0.3335

- Size of the total moment: 0.000 μB/f.u.
- Crystal system: monoclinic
- Electronic total energy: -5.7378 eV/atom
- DOS at the Fermi energy: 1.1 states/eV/f.u.